This record from Alexandria via LeMat-Bulk describes a relaxed Sb2OF crystal. The functional is PBE-GGA.

Energy relative to the elements, uncorrected ... -0.380 eV/atom
Distance to the lowest polymorph of the same formula ... 466 meV/atom
Total DFT energy (no corrections) ... -4.149 eV per atom
Volume ... 262 Å³/cell
DOS at the Fermi energy ... 4.24 states/eV/f.u.

Cell: 6.396 6.396 6.396 Å, 90.00 90.00 90.00°
Space group Fm-3m (No. 225)
One atom of each set of equivalent atoms:
Sb (0.250, 0.250, 0.250) [8 per cell]
O (0.000, 0.000, 0.000) [4 per cell]
F (0.000, 0.000, 0.500) [4 per cell]